Record 1
## Dy6TlSe5 (PBE-GGA)

Data for Dy6TlSe5 after structural relaxation.

Output
* density: 8.7 g/cm³
* total DFT energy (no corrections): -5.46 eV/atom
* crystal system: monoclinic

a = 7.158 Å, b = 7.158 Å, c = 7.162 Å
α = 99.52°, β = 99.52°, γ = 119.79°
Atoms (fractional coordinates):
Dy1 0.077 0.416 0.747
Dy2 0.245 0.245 0.251
Dy3 0.416 0.077 0.747
Dy4 0.584 0.923 0.253
Dy5 0.755 0.755 0.749
Dy6 0.923 0.584 0.253
Tl1 0.500 0.500 0.000
Se1 0.000 0.000 0.500
Se2 0.167 0.833 0.000
Se3 0.335 0.665 0.500
Se4 0.665 0.335 0.500
Se5 0.833 0.167 0.000


Record 2
## Dy3TlSe4 (PBE-GGA)

Data for Dy3TlSe4 after structural relaxation.

Output
* density: 7.9 g/cm³
* total DFT energy (no corrections): -5.33 eV/atom
* crystal system: hexagonal

a = 4.117 Å, b = 4.117 Å, c = 28.982 Å
α = 90.00°, β = 90.00°, γ = 120.00°
Atoms (fractional coordinates):
Dy1 0.000 0.000 0.000
Dy2 0.000 0.000 0.500
Dy3 0.333 0.667 0.114
Dy4 0.333 0.667 0.386
Dy5 0.667 0.333 0.614
Dy6 0.667 0.333 0.886
Tl1 0.333 0.667 0.750
Tl2 0.667 0.333 0.250
Se1 0.000 0.000 0.169
Se2 0.000 0.000 0.331
Se3 0.000 0.000 0.669
Se4 0.000 0.000 0.831
Se5 0.333 0.667 0.557
Se6 0.333 0.667 0.943
Se7 0.667 0.333 0.057
Se8 0.667 0.333 0.443


Record 3
## DyTlSe2 (PBE-GGA)

Data for DyTlSe2 after structural relaxation.

Output
* density: 7.3 g/cm³
* total DFT energy (no corrections): -4.86 eV/atom
* crystal system: trigonal

a = 4.169 Å, b = 4.169 Å, c = 23.677 Å
α = 90.00°, β = 90.00°, γ = 120.00°
Atoms (fractional coordinates):
Dy1 0.000 0.000 0.000
Dy2 0.333 0.667 0.667
Dy3 0.667 0.333 0.333
Tl1 0.000 0.000 0.831
Tl2 0.333 0.667 0.497
Tl3 0.667 0.333 0.164
Se1 0.000 0.000 0.401
Se2 0.000 0.000 0.599
Se3 0.333 0.667 0.068
Se4 0.333 0.667 0.266
Se5 0.667 0.333 0.734
Se6 0.667 0.333 0.933


Record 4
## Dy4TlSe3 (PBE-GGA)

Data for Dy4TlSe3 after structural relaxation.

Output
* density: 8.9 g/cm³
* total DFT energy (no corrections): -5.28 eV/atom
* crystal system: orthorhombic

a = 8.472 Å, b = 11.816 Å, c = 4.084 Å
α = 90.00°, β = 90.00°, γ = 90.00°
Atoms (fractional coordinates):
Dy1 0.000 0.248 0.000
Dy2 0.000 0.752 0.000
Dy3 0.240 0.000 0.500
Dy4 0.260 0.500 0.500
Dy5 0.500 0.252 0.000
Dy6 0.500 0.748 0.000
Dy7 0.740 0.500 0.500
Dy8 0.760 0.000 0.500
Tl1 0.000 0.500 0.000
Tl2 0.500 0.000 0.000
Se1 0.000 0.000 0.000
Se2 0.250 0.250 0.500
Se3 0.250 0.750 0.500
Se4 0.500 0.500 0.000
Se5 0.750 0.250 0.500
Se6 0.750 0.750 0.500


Record 5
## Dy6TlSe3 (PBE-GGA)

Data for Dy6TlSe3 after structural relaxation.

Output
* density: 8.7 g/cm³
* total DFT energy (no corrections): -5.10 eV/atom
* crystal system: monoclinic

a = 11.924 Å, b = 3.934 Å, c = 12.093 Å
α = 90.00°, β = 107.48°, γ = 90.00°
Atoms (fractional coordinates):
Dy1 0.001 0.250 0.357
Dy2 0.119 0.250 0.929
Dy3 0.224 0.750 0.264
Dy4 0.297 0.750 0.747
Dy5 0.364 0.250 0.526
Dy6 0.419 0.750 0.093
Dy7 0.581 0.250 0.907
Dy8 0.636 0.750 0.474
Dy9 0.703 0.250 0.253
Dy10 0.776 0.250 0.736
Dy11 0.881 0.750 0.071
Dy12 0.999 0.750 0.643
Tl1 0.449 0.250 0.305
Tl2 0.551 0.750 0.695
Se1 0.062 0.250 0.145
Se2 0.167 0.750 0.492
Se3 0.353 0.250 0.922
Se4 0.647 0.750 0.078
Se5 0.833 0.250 0.508
Se6 0.938 0.750 0.855


Record 6
## Dy5TlSe4 (PBE-GGA)

Data for Dy5TlSe4 after structural relaxation.

Output
* density: 8.8 g/cm³
* total DFT energy (no corrections): -5.41 eV/atom
* crystal system: tetragonal

a = 7.192 Å, b = 7.192 Å, c = 7.192 Å
α = 99.56°, β = 99.56°, γ = 131.90°
Atoms (fractional coordinates):
Dy1 0.000 0.000 0.000
Dy2 0.195 0.399 0.594
Dy3 0.399 0.805 0.205
Dy4 0.601 0.195 0.795
Dy5 0.805 0.601 0.406
Tl1 0.500 0.500 0.000
Se1 0.101 0.699 0.801
Se2 0.301 0.101 0.402
Se3 0.699 0.899 0.598
Se4 0.899 0.301 0.199


Record 7
## Dy3TlSe2 (PBE-GGA)

Data for Dy3TlSe2 after structural relaxation.

Output
* density: 9.0 g/cm³
* total DFT energy (no corrections): -5.15 eV/atom
* crystal system: orthorhombic

a = 4.045 Å, b = 5.953 Å, c = 12.957 Å
α = 90.00°, β = 90.00°, γ = 90.00°
Atoms (fractional coordinates):
Dy1 0.000 0.000 0.000
Dy2 0.000 0.000 0.323
Dy3 0.000 0.000 0.677
Dy4 0.500 0.500 0.177
Dy5 0.500 0.500 0.500
Dy6 0.500 0.500 0.823
Tl1 0.000 0.500 0.000
Tl2 0.500 0.000 0.500
Se1 0.000 0.500 0.335
Se2 0.000 0.500 0.665
Se3 0.500 0.000 0.165
Se4 0.500 0.000 0.835


Record 8
## Dy3TlSe (PBE-GGA)

Data for Dy3TlSe after structural relaxation.

Output
* density: 8.9 g/cm³
* total DFT energy (no corrections): -4.65 eV/atom
* relative energy among the computed polymorphs: 131 meV per atom
* crystal system: monoclinic

a = 9.243 Å, b = 6.652 Å, c = 10.273 Å
α = 90.00°, β = 113.83°, γ = 90.00°
Atoms (fractional coordinates):
Dy1 0.065 0.089 0.336
Dy2 0.065 0.411 0.836
Dy3 0.212 0.581 0.539
Dy4 0.212 0.919 0.039
Dy5 0.388 0.135 0.804
Dy6 0.388 0.365 0.304
Dy7 0.612 0.635 0.696
Dy8 0.612 0.865 0.196
Dy9 0.788 0.081 0.961
Dy10 0.788 0.419 0.461
Dy11 0.935 0.589 0.164
Dy12 0.935 0.911 0.664
Tl1 0.384 0.666 0.876
Tl2 0.384 0.834 0.376
Tl3 0.616 0.166 0.624
Tl4 0.616 0.334 0.124
Se1 0.085 0.233 0.597
Se2 0.085 0.267 0.097
Se3 0.915 0.733 0.903
Se4 0.915 0.767 0.403


Record 9
## DyTlSe2 (PBE-GGA)

Data for DyTlSe2 after structural relaxation.

Output
* density: 7.4 g/cm³
* total DFT energy (no corrections): -4.87 eV/atom
* crystal system: trigonal

a = 4.186 Å, b = 4.186 Å, c = 23.319 Å
α = 90.00°, β = 90.00°, γ = 120.00°
Atoms (fractional coordinates):
Dy1 0.000 0.000 0.000
Dy2 0.333 0.667 0.667
Dy3 0.667 0.333 0.333
Tl1 0.000 0.000 0.500
Tl2 0.333 0.667 0.167
Tl3 0.667 0.333 0.833
Se1 0.000 0.000 0.265
Se2 0.000 0.000 0.735
Se3 0.333 0.667 0.401
Se4 0.333 0.667 0.932
Se5 0.667 0.333 0.068
Se6 0.667 0.333 0.599


Please write out number 6 again, unchanged.
## Dy5TlSe4 (PBE-GGA)

Data for Dy5TlSe4 after structural relaxation.

Output
* density: 8.8 g/cm³
* total DFT energy (no corrections): -5.41 eV/atom
* crystal system: tetragonal

a = 7.192 Å, b = 7.192 Å, c = 7.192 Å
α = 99.56°, β = 99.56°, γ = 131.90°
Atoms (fractional coordinates):
Dy1 0.000 0.000 0.000
Dy2 0.195 0.399 0.594
Dy3 0.399 0.805 0.205
Dy4 0.601 0.195 0.795
Dy5 0.805 0.601 0.406
Tl1 0.500 0.500 0.000
Se1 0.101 0.699 0.801
Se2 0.301 0.101 0.402
Se3 0.699 0.899 0.598
Se4 0.899 0.301 0.199


Please write out number 3 again, unchanged.
## DyTlSe2 (PBE-GGA)

Data for DyTlSe2 after structural relaxation.

Output
* density: 7.3 g/cm³
* total DFT energy (no corrections): -4.86 eV/atom
* crystal system: trigonal

a = 4.169 Å, b = 4.169 Å, c = 23.677 Å
α = 90.00°, β = 90.00°, γ = 120.00°
Atoms (fractional coordinates):
Dy1 0.000 0.000 0.000
Dy2 0.333 0.667 0.667
Dy3 0.667 0.333 0.333
Tl1 0.000 0.000 0.831
Tl2 0.333 0.667 0.497
Tl3 0.667 0.333 0.164
Se1 0.000 0.000 0.401
Se2 0.000 0.000 0.599
Se3 0.333 0.667 0.068
Se4 0.333 0.667 0.266
Se5 0.667 0.333 0.734
Se6 0.667 0.333 0.933


Question: What is the formula in the fourth record?
Answer: Dy4TlSe3


Please write out number 7 again, unchanged.
## Dy3TlSe2 (PBE-GGA)

Data for Dy3TlSe2 after structural relaxation.

Output
* density: 9.0 g/cm³
* total DFT energy (no corrections): -5.15 eV/atom
* crystal system: orthorhombic

a = 4.045 Å, b = 5.953 Å, c = 12.957 Å
α = 90.00°, β = 90.00°, γ = 90.00°
Atoms (fractional coordinates):
Dy1 0.000 0.000 0.000
Dy2 0.000 0.000 0.323
Dy3 0.000 0.000 0.677
Dy4 0.500 0.500 0.177
Dy5 0.500 0.500 0.500
Dy6 0.500 0.500 0.823
Tl1 0.000 0.500 0.000
Tl2 0.500 0.000 0.500
Se1 0.000 0.500 0.335
Se2 0.000 0.500 0.665
Se3 0.500 0.000 0.165
Se4 0.500 0.000 0.835